Record 1
Computed, not measured: crystalline CuOsW2 at its relaxed geometry at the PBE level of DFT.

Unit cell a=2.782 b=3.926 c=5.411 alpha=90.00 beta=90.13 gamma=90.00
Space group P2/m (No. 10)
One atom of each set of equivalent atoms:
Cu: 0.000 0.000 0.000 (multiplicity 1)
Os: 0.000 0.000 0.500 (multiplicity 1)
W: 0.499 0.500 0.253 (multiplicity 2)

Properties
Volume, Å³ per atom: 14.8
Excess energy over the best structure of this formula in the dataset, kcal/mol of atoms: 0.00
Formation enthalpy at 0 K, meV per atom: 189

Record 2
Computed, not measured: crystalline BaCeIn2Cl8 at its relaxed geometry at the PBE level of DFT.

Unit cell a=6.957 b=9.111 c=7.034 alpha=90.00 beta=91.37 gamma=90.00
Space group P2/m (No. 10)
One atom of each set of equivalent atoms:
Ba: 0.000 0.000 0.000 (multiplicity 1)
Ce: 0.000 0.500 0.000 (multiplicity 1)
In: 0.500 0.248 0.500 (multiplicity 2)
Cl: 0.149 0.281 0.790 (multiplicity 4)
Cl: 0.305 0.500 0.223 (multiplicity 2)
Cl: 0.342 0.000 0.282 (multiplicity 2)

Properties
Volume, Å³ per atom: 37.1
Uncorrected formation energy, eV per atom: -1.7120

Record 3
Computed, not measured: crystalline Sm2Ho3Se8 at its relaxed geometry at the PBE level of DFT.

Unit cell a=14.386 b=8.253 c=7.012 alpha=90.00 beta=109.46 gamma=90.00
Space group C2/m (No. 12)
One atom of each set of equivalent atoms:
Sm: 0.241 0.000 0.162 (multiplicity 4)
Ho: 0.000 0.239 0.500 (multiplicity 4)
Ho: 0.000 0.500 0.000 (multiplicity 2)
Se: 0.116 0.500 0.421 (multiplicity 4)
Se: 0.121 0.000 0.421 (multiplicity 4)
Se: 0.121 0.262 0.912 (multiplicity 8)

Properties
Volume, Å³ per atom: 30.2
Uncorrected formation energy, eV per atom: -1.7232

Record 4
Computed, not measured: crystalline RbTiAgSe3 at its relaxed geometry at the PBE level of DFT.

Unit cell a=11.011 b=8.750 c=8.409 alpha=90.00 beta=107.16 gamma=90.00
Space group C2/m (No. 12)
One atom of each set of equivalent atoms:
Rb: 0.198 0.000 0.129 (multiplicity 4)
Ti: 0.086 0.500 0.343 (multiplicity 4)
Ag: 0.000 0.235 0.500 (multiplicity 4)
Se: 0.020 0.281 0.805 (multiplicity 8)
Se: 0.194 0.000 0.575 (multiplicity 4)

Properties
Volume, Å³ per atom: 32.3
Uncorrected formation energy, eV per atom: -0.6934

Record 5
Computed, not measured: crystalline LiCeBr3 at its relaxed geometry at the PBE level of DFT.

Unit cell a=6.9538 b=6.9538 c=21.0602 alpha=90.00 beta=90.00 gamma=120.00
Space group R-3 (No. 148, hexagonal axes)
One atom of each set of equivalent atoms:
Li: 0.0000 0.0000 0.1599 (multiplicity 6)
Ce: 0.0000 0.0000 0.3397 (multiplicity 6)
Br: 0.0049 0.6516 0.4239 (multiplicity 18)

Properties
Volume, Å³ per atom: 29.4
Uncorrected formation energy, eV per atom: -1.5243

Record 6
Computed, not measured: crystalline Zn2Tc2Sn at its relaxed geometry at the PBE level of DFT.

Unit cell a=3.575 b=3.575 c=13.142 alpha=90.00 beta=90.00 gamma=90.00
Space group I4/mmm (No. 139)
One atom of each set of equivalent atoms:
Zn: 0.000 0.500 0.250 (multiplicity 4)
Tc: 0.000 0.000 0.098 (multiplicity 4)
Sn: 0.000 0.000 0.500 (multiplicity 2)

Properties
Volume, Å³ per atom: 16.8
Excess energy over the best structure of this formula in the dataset, kcal/mol of atoms: 4.29
Formation enthalpy at 0 K, meV per atom: 397